(1)
{"formula": "TiZnSb", "functional": "GGA-PBE", "state": "relaxed", "cell": [[-1.496, 1.496, 7.313], [1.496, -1.496, 7.313], [1.496, 1.496, -7.313]], "species": ["Ti", "Zn", "Sb"], "fractional_positions": [[0.000, 0.000, 0.000], [0.376, 0.376, 0.000], [0.188, 0.188, 0.000]], "dft_energy_ev_per_atom": -4.23, "sg": "No. 107", "e_form_raw_ev_per_atom": 0.197, "magnetic_moment_mub_per_atom": 0.100}



(2)
{"formula": "Zr3TiSb2", "functional": "GGA-PBE", "state": "relaxed", "cell": [[8.174, -1.975, 0.000], [8.174, 1.975, 0.000], [-1.063, 0.000, 4.044]], "species": ["Zr", "Zr", "Zr", "Ti", "Sb", "Sb"], "fractional_positions": [[0.000, 0.000, 0.000], [0.322, 0.322, 0.823], [0.678, 0.678, 0.177], [0.500, 0.500, 0.500], [0.135, 0.135, 0.634], [0.865, 0.865, 0.366]], "dft_energy_ev_per_atom": -7.61, "sg": "No. 12", "e_form_raw_ev_per_atom": -0.642, "magnetic_moment_mub_per_atom": 0.000}



(3)
{"formula": "ZrTi5Sb3", "functional": "GGA-PBE", "state": "relaxed", "cell": [[-3.375, 3.375, 8.091], [3.375, -3.375, 8.091], [3.375, 3.375, -8.091]], "species": ["Zr", "Zr", "Ti", "Ti", "Ti", "Ti", "Ti", "Ti", "Ti", "Ti", "Ti", "Ti", "Sb", "Sb", "Sb", "Sb", "Sb", "Sb"], "fractional_positions": [[0.250, 0.750, 0.500], [0.750, 0.250, 0.500], [0.000, 0.000, 0.000], [0.052, 0.552, 0.854], [0.198, 0.052, 0.500], [0.302, 0.802, 0.854], [0.448, 0.302, 0.500], [0.500, 0.500, 0.000], [0.552, 0.698, 0.500], [0.698, 0.198, 0.146], [0.802, 0.948, 0.500], [0.948, 0.448, 0.146], [0.142, 0.358, 0.500], [0.250, 0.250, 0.000], [0.358, 0.858, 0.215], [0.642, 0.142, 0.785], [0.750, 0.750, 0.000], [0.858, 0.642, 0.500]], "dft_energy_ev_per_atom": -6.68, "sg": "No. 140", "e_form_raw_ev_per_atom": 0.032, "magnetic_moment_mub_per_atom": 0.000}



(4)
{"formula": "ZrTi4Sb2", "functional": "GGA-PBE", "state": "relaxed", "cell": [[-1.946, 1.946, 9.453], [1.946, -1.946, 9.453], [1.946, 1.946, -9.453]], "species": ["Zr", "Ti", "Ti", "Ti", "Ti", "Sb", "Sb"], "fractional_positions": [[0.000, 0.000, 0.000], [0.139, 0.139, 0.000], [0.250, 0.750, 0.500], [0.750, 0.250, 0.500], [0.861, 0.861, 0.000], [0.389, 0.389, 0.000], [0.611, 0.611, 0.000]], "dft_energy_ev_per_atom": -6.91, "sg": "No. 139", "e_form_raw_ev_per_atom": -0.002, "magnetic_moment_mub_per_atom": 0.000}



(5)
{"formula": "Zr4TiSb2", "functional": "GGA-PBE", "state": "relaxed", "cell": [[2.337, 1.350, 9.217], [-2.337, 1.350, 9.217], [0.000, -2.699, 9.217]], "species": ["Zr", "Zr", "Zr", "Zr", "Ti", "Sb", "Sb"], "fractional_positions": [[0.118, 0.118, 0.118], [0.297, 0.297, 0.297], [0.703, 0.703, 0.703], [0.882, 0.882, 0.882], [0.500, 0.500, 0.500], [0.402, 0.402, 0.402], [0.598, 0.598, 0.598]], "dft_energy_ev_per_atom": -7.23, "sg": "No. 166", "e_form_raw_ev_per_atom": -0.037, "magnetic_moment_mub_per_atom": 0.088}



(6)
{"formula": "ZrTiSb", "functional": "GGA-PBE", "state": "relaxed", "cell": [[-1.822, 1.822, 4.641], [1.822, -1.822, 4.641], [1.822, 1.822, -4.641]], "species": ["Zr", "Ti", "Sb"], "fractional_positions": [[0.000, 0.000, 0.000], [0.673, 0.673, 0.000], [0.328, 0.328, 0.000]], "dft_energy_ev_per_atom": -7.31, "sg": "No. 107", "e_form_raw_ev_per_atom": -0.456, "magnetic_moment_mub_per_atom": 0.001}



(7)
{"formula": "Zr2Ti2Sb", "functional": "GGA-PBE", "state": "relaxed", "cell": [[7.192, 0.000, 0.000], [0.000, 7.192, 0.000], [0.000, 0.000, 3.975]], "species": ["Zr", "Zr", "Zr", "Zr", "Ti", "Ti", "Ti", "Ti", "Sb", "Sb"], "fractional_positions": [[0.172, 0.328, 0.000], [0.328, 0.828, 0.000], [0.672, 0.172, 0.000], [0.828, 0.672, 0.000], [0.129, 0.629, 0.500], [0.371, 0.129, 0.500], [0.629, 0.871, 0.500], [0.871, 0.371, 0.500], [0.000, 0.000, 0.500], [0.500, 0.500, 0.500]], "dft_energy_ev_per_atom": -7.60, "sg": "No. 127", "e_form_raw_ev_per_atom": -0.194, "magnetic_moment_mub_per_atom": 0.000}



(8)
{"formula": "ZrTi2Sb", "functional": "GGA-PBE", "state": "relaxed", "cell": [[-3.910, 3.910, 2.834], [3.910, -3.910, 2.834], [3.910, 3.910, -2.834]], "species": ["Zr", "Zr", "Ti", "Ti", "Ti", "Ti", "Sb", "Sb"], "fractional_positions": [[0.000, 0.000, 0.000], [0.750, 0.250, 0.500], [0.149, 0.625, 0.024], [0.375, 0.399, 0.524], [0.601, 0.125, 0.976], [0.875, 0.851, 0.476], [0.250, 0.750, 0.500], [0.500, 0.500, 0.000]], "dft_energy_ev_per_atom": -6.92, "sg": "No. 122", "e_form_raw_ev_per_atom": 0.198, "magnetic_moment_mub_per_atom": 0.001}



(9)
{"formula": "Zr3TiSb", "functional": "GGA-PBE", "state": "relaxed", "cell": [[5.250, 0.000, 0.000], [0.000, 5.250, 0.000], [0.000, 0.000, 5.250]], "species": ["Zr", "Zr", "Zr", "Ti", "Sb"], "fractional_positions": [[0.000, 0.000, 0.500], [0.000, 0.500, 0.000], [0.500, 0.000, 0.000], [0.500, 0.500, 0.500], [0.000, 0.000, 0.000]], "dft_energy_ev_per_atom": -6.68, "sg": "No. 221", "e_form_raw_ev_per_atom": 0.849, "magnetic_moment_mub_per_atom": 0.000}



(10)
{"formula": "ZrTi12Sb6", "functional": "GGA-PBE", "state": "relaxed", "cell": [[6.503, 3.755, 2.479], [-6.503, 3.755, 2.479], [0.000, -7.509, 2.479]], "species": ["Zr", "Ti", "Ti", "Ti", "Ti", "Ti", "Ti", "Ti", "Ti", "Ti", "Ti", "Ti", "Ti", "Sb", "Sb", "Sb", "Sb", "Sb", "Sb"], "fractional_positions": [[0.000, 0.000, 0.000], [0.109, 0.188, 0.742], [0.188, 0.742, 0.109], [0.208, 0.330, 0.471], [0.258, 0.891, 0.812], [0.330, 0.471, 0.208], [0.471, 0.208, 0.330], [0.529, 0.792, 0.670], [0.670, 0.529, 0.792], [0.742, 0.109, 0.188], [0.792, 0.670, 0.529], [0.812, 0.258, 0.891], [0.891, 0.812, 0.258], [0.074, 0.573, 0.350], [0.350, 0.074, 0.573], [0.427, 0.650, 0.926], [0.573, 0.350, 0.074], [0.650, 0.926, 0.427], [0.926, 0.427, 0.650]], "dft_energy_ev_per_atom": -6.98, "sg": "No. 148", "e_form_raw_ev_per_atom": -0.244, "magnetic_moment_mub_per_atom": 0.000}



(11)
{"formula": "Zr3TiSb", "functional": "GGA-PBE", "state": "relaxed", "cell": [[4.946, 0.000, 0.000], [0.000, 4.946, 0.000], [0.000, 0.000, 4.946]], "species": ["Zr", "Zr", "Zr", "Ti", "Sb"], "fractional_positions": [[0.000, 0.000, 0.500], [0.000, 0.500, 0.000], [0.500, 0.000, 0.000], [0.000, 0.000, 0.000], [0.500, 0.500, 0.500]], "dft_energy_ev_per_atom": -6.98, "sg": "No. 221", "e_form_raw_ev_per_atom": 0.551, "magnetic_moment_mub_per_atom": 0.001}



(12)
{"formula": "Zr3TiSb2", "functional": "GGA-PBE", "state": "relaxed", "cell": [[-1.815, 2.362, 8.254], [1.815, -2.362, 8.254], [1.815, 2.362, -8.254]], "species": ["Zr", "Zr", "Zr", "Ti", "Sb", "Sb"], "fractional_positions": [[0.000, 0.000, 0.000], [0.317, 0.817, 0.500], [0.683, 0.183, 0.500], [0.500, 0.000, 0.500], [0.141, 0.641, 0.500], [0.859, 0.359, 0.500]], "dft_energy_ev_per_atom": -6.95, "sg": "No. 71", "e_form_raw_ev_per_atom": 0.015, "magnetic_moment_mub_per_atom": 0.075}



(13)
{"formula": "Zr3Ti2Sb4", "functional": "GGA-PBE", "state": "relaxed", "cell": [[7.052, -1.966, 0.000], [7.052, 1.966, 0.000], [-5.974, 0.000, 7.159]], "species": ["Zr", "Zr", "Zr", "Ti", "Ti", "Sb", "Sb", "Sb", "Sb"], "fractional_positions": [[0.000, 0.000, 0.000], [0.353, 0.353, 0.313], [0.647, 0.647, 0.687], [0.314, 0.314, 0.646], [0.686, 0.686, 0.354], [0.048, 0.048, 0.371], [0.333, 0.333, 0.967], [0.667, 0.667, 0.033], [0.952, 0.952, 0.629]], "dft_energy_ev_per_atom": -6.98, "sg": "No. 12", "e_form_raw_ev_per_atom": -0.549, "magnetic_moment_mub_per_atom": 0.000}



(14)
{"formula": "Zr3Ti2Sb3", "functional": "GGA-PBE", "state": "relaxed", "cell": [[8.308, 0.000, 0.000], [-4.154, 7.195, 0.000], [0.000, 0.000, 5.598]], "species": ["Zr", "Zr", "Zr", "Zr", "Zr", "Zr", "Ti", "Ti", "Ti", "Ti", "Sb", "Sb", "Sb", "Sb", "Sb", "Sb"], "fractional_positions": [[0.000, 0.244, 0.250], [0.000, 0.756, 0.750], [0.244, 0.000, 0.250], [0.244, 0.244, 0.750], [0.756, 0.000, 0.750], [0.756, 0.756, 0.250], [0.333, 0.667, 0.000], [0.333, 0.667, 0.500], [0.667, 0.333, 0.000], [0.667, 0.333, 0.500], [0.000, 0.397, 0.750], [0.000, 0.603, 0.250], [0.397, 0.000, 0.750], [0.397, 0.397, 0.250], [0.603, 0.000, 0.250], [0.603, 0.603, 0.750]], "dft_energy_ev_per_atom": -7.35, "sg": "No. 193", "e_form_raw_ev_per_atom": -0.629, "magnetic_moment_mub_per_atom": 0.000}



(15)
{"formula": "ZrTiSb", "functional": "GGA-PBE", "state": "relaxed", "cell": [[5.770, 0.000, 0.000], [0.000, 3.600, 0.000], [-1.800, 0.000, 6.486]], "species": ["Zr", "Zr", "Ti", "Ti", "Sb", "Sb"], "fractional_positions": [[0.199, 0.250, 0.447], [0.801, 0.750, 0.553], [0.118, 0.250, 0.885], [0.882, 0.750, 0.115], [0.397, 0.750, 0.183], [0.603, 0.250, 0.817]], "dft_energy_ev_per_atom": -7.17, "sg": "No. 11", "e_form_raw_ev_per_atom": -0.318, "magnetic_moment_mub_per_atom": 0.000}



(16)
{"formula": "Zr3Ti5Sb12", "functional": "GGA-PBE", "state": "relaxed", "cell": [[-8.306, 8.306, 8.306], [8.306, -8.306, 8.306], [8.306, 8.306, -8.306]], "species": ["Zr", "Zr", "Zr", "Zr", "Zr", "Zr", "Zr", "Zr", "Zr", "Zr", "Zr", "Zr", "Ti", "Ti", "Ti", "Ti", "Ti", "Ti", "Ti", "Ti", "Ti", "Ti", "Ti", "Ti", "Ti", "Ti", "Ti", "Ti", "Ti", "Ti", "Ti", "Ti", "Sb", "Sb", "Sb", "Sb", "Sb", "Sb", "Sb", "Sb", "Sb", "Sb", "Sb", "Sb", "Sb", "Sb", "Sb", "Sb", "Sb", "Sb", "Sb", "Sb", "Sb", "Sb", "Sb", "Sb", "Sb", "Sb", "Sb", "Sb", "Sb", "Sb", "Sb", "Sb", "Sb", "Sb", "Sb", "Sb", "Sb", "Sb", "Sb", "Sb", "Sb", "Sb", "Sb", "Sb", "Sb", "Sb", "Sb", "Sb"], "fractional_positions": [[0.125, 0.250, 0.375], [0.125, 0.375, 0.750], [0.250, 0.375, 0.125], [0.250, 0.875, 0.625], [0.375, 0.125, 0.250], [0.375, 0.750, 0.125], [0.625, 0.250, 0.875], [0.625, 0.875, 0.750], [0.750, 0.125, 0.375], [0.750, 0.625, 0.875], [0.875, 0.625, 0.250], [0.875, 0.750, 0.625], [0.000, 0.000, 0.000], [0.000, 0.000, 0.500], [0.000, 0.500, 0.000], [0.000, 0.500, 0.500], [0.125, 0.750, 0.875], [0.125, 0.875, 0.250], [0.250, 0.125, 0.875], [0.250, 0.625, 0.375], [0.375, 0.250, 0.625], [0.375, 0.625, 0.750], [0.500, 0.000, 0.000], [0.500, 0.000, 0.500], [0.500, 0.500, 0.000], [0.500, 0.500, 0.500], [0.625, 0.375, 0.250], [0.625, 0.750, 0.375], [0.750, 0.375, 0.625], [0.750, 0.875, 0.125], [0.875, 0.125, 0.750], [0.875, 0.250, 0.125], [0.051, 0.227, 0.126], [0.051, 0.324, 0.925], [0.075, 0.626, 0.399], [0.075, 0.949, 0.676], [0.101, 0.727, 0.676], [0.101, 0.874, 0.425], [0.126, 0.051, 0.227], [0.126, 0.575, 0.899], [0.176, 0.227, 0.601], [0.176, 0.449, 0.575], [0.227, 0.126, 0.051], [0.227, 0.601, 0.176], [0.273, 0.324, 0.899], [0.273, 0.449, 0.374], [0.324, 0.899, 0.273], [0.324, 0.925, 0.051], [0.374, 0.273, 0.449], [0.374, 0.601, 0.925], [0.399, 0.075, 0.626], [0.399, 0.824, 0.773], [0.425, 0.101, 0.874], [0.425, 0.824, 0.551], [0.449, 0.374, 0.273], [0.449, 0.575, 0.176], [0.551, 0.425, 0.824], [0.551, 0.626, 0.727], [0.575, 0.176, 0.449], [0.575, 0.899, 0.126], [0.601, 0.176, 0.227], [0.601, 0.925, 0.374], [0.626, 0.399, 0.075], [0.626, 0.727, 0.551], [0.676, 0.075, 0.949], [0.676, 0.101, 0.727], [0.727, 0.551, 0.626], [0.727, 0.676, 0.101], [0.773, 0.399, 0.824], [0.773, 0.874, 0.949], [0.824, 0.551, 0.425], [0.824, 0.773, 0.399], [0.874, 0.425, 0.101], [0.874, 0.949, 0.773], [0.899, 0.126, 0.575], [0.899, 0.273, 0.324], [0.925, 0.051, 0.324], [0.925, 0.374, 0.601], [0.949, 0.676, 0.075], [0.949, 0.773, 0.874]], "dft_energy_ev_per_atom": -5.72, "sg": "No. 230", "e_form_raw_ev_per_atom": 0.014, "magnetic_moment_mub_per_atom": 0.014}



(17)
{"formula": "ZrTi2Sb", "functional": "GGA-PBE", "state": "relaxed", "cell": [[1.976, -10.151, 0.000], [1.976, 10.151, 0.000], [0.000, 0.000, 3.981]], "species": ["Zr", "Zr", "Ti", "Ti", "Ti", "Ti", "Sb", "Sb"], "fractional_positions": [[0.198, 0.802, 0.750], [0.802, 0.198, 0.250], [0.051, 0.949, 0.250], [0.448, 0.552, 0.250], [0.552, 0.448, 0.750], [0.949, 0.051, 0.750], [0.345, 0.655, 0.750], [0.655, 0.345, 0.250]], "dft_energy_ev_per_atom": -7.61, "sg": "No. 63", "e_form_raw_ev_per_atom": -0.494, "magnetic_moment_mub_per_atom": 0.000}



(18)
{"formula": "ZrTi5Sb3", "functional": "GGA-PBE", "state": "relaxed", "cell": [[8.331, 0.000, 0.000], [-4.165, 7.215, 0.000], [0.000, 0.000, 5.655]], "species": ["Zr", "Zr", "Ti", "Ti", "Ti", "Ti", "Ti", "Ti", "Ti", "Ti", "Ti", "Ti", "Sb", "Sb", "Sb", "Sb", "Sb", "Sb"], "fractional_positions": [[0.000, 0.000, 0.000], [0.000, 0.000, 0.500], [0.000, 0.340, 0.250], [0.000, 0.660, 0.750], [0.333, 0.667, 0.000], [0.333, 0.667, 0.500], [0.340, 0.000, 0.250], [0.340, 0.340, 0.750], [0.660, 0.000, 0.750], [0.660, 0.660, 0.250], [0.667, 0.333, 0.000], [0.667, 0.333, 0.500], [0.000, 0.334, 0.750], [0.000, 0.666, 0.250], [0.334, 0.000, 0.750], [0.334, 0.334, 0.250], [0.666, 0.000, 0.250], [0.666, 0.666, 0.750]], "dft_energy_ev_per_atom": -7.10, "sg": "No. 193", "e_form_raw_ev_per_atom": -0.395, "magnetic_moment_mub_per_atom": 0.000}



(19)
{"formula": "ZrTi5Sb6", "functional": "GGA-PBE", "state": "relaxed", "cell": [[3.458, -5.966, 0.000], [3.458, 5.966, 0.000], [-2.224, 0.000, 6.534]], "species": ["Zr", "Ti", "Ti", "Ti", "Ti", "Ti", "Sb", "Sb", "Sb", "Sb", "Sb", "Sb"], "fractional_positions": [[0.000, 0.000, 0.000], [0.138, 0.862, 0.500], [0.316, 0.684, 0.000], [0.500, 0.500, 0.500], [0.684, 0.316, 0.000], [0.862, 0.138, 0.500], [0.093, 0.441, 0.271], [0.283, 0.283, 0.774], [0.441, 0.093, 0.271], [0.559, 0.907, 0.729], [0.717, 0.717, 0.226], [0.907, 0.559, 0.729]], "dft_energy_ev_per_atom": -6.41, "sg": "No. 12", "e_form_raw_ev_per_atom": -0.343, "magnetic_moment_mub_per_atom": 0.049}



(20)
{"formula": "Zr2Ti3Sb2", "functional": "GGA-PBE", "state": "relaxed", "cell": [[5.308, -1.957, 0.000], [5.308, 1.957, 0.000], [-2.385, 0.000, 6.947]], "species": ["Zr", "Zr", "Ti", "Ti", "Ti", "Sb", "Sb"], "fractional_positions": [[0.110, 0.110, 0.258], [0.890, 0.890, 0.742], [0.382, 0.382, 0.056], [0.500, 0.500, 0.500], [0.618, 0.618, 0.944], [0.172, 0.172, 0.702], [0.828, 0.828, 0.298]], "dft_energy_ev_per_atom": -7.45, "sg": "No. 12", "e_form_raw_ev_per_atom": -0.446, "magnetic_moment_mub_per_atom": 0.000}